# 1
The following is a DFT calculation (PBE-GGA) of crystalline PaMnTcPt at its relaxed geometry.

Calculated values
* SG: F-43m
* ΔH_f (0 K): -234 meV per atom
* crystal system: cubic
* uncorrected energy: -9.00 eV per atom

Structure (POSCAR):
```
PaMnTcPt
1.0
4.6779 0.0000 0.0000
2.3390 4.0512 0.0000
2.3390 1.3504 3.8195
Pa Mn Pt Tc
1 1 1 1
Direct
0.7500 0.7500 0.7500
0.2500 0.2500 0.2500
0.5000 0.5000 0.5000
0.0000 0.0000 0.0000
```


# 2
The following is a DFT calculation (PBE-GGA) of crystalline UPaMnPt at its relaxed geometry.

Calculated values
* SG: F-43m
* ΔH_f (0 K): -398 meV per atom
* crystal system: cubic
* uncorrected energy: -9.40 eV per atom

Structure (POSCAR):
```
UPaMnPt
1.0
4.6963 0.0000 0.0000
2.3482 4.0672 0.0000
2.3482 1.3557 3.8345
Pt U Pa Mn
1 1 1 1
Direct
0.7500 0.7500 0.7500
0.5000 0.5000 0.5000
0.2500 0.2500 0.2500
0.0000 0.0000 0.0000
```


# 3
The following is a DFT calculation (PBE-GGA) of crystalline PaMnZnPt at its relaxed geometry.

Calculated values
* SG: F-43m
* ΔH_f (0 K): -266 meV per atom
* crystal system: cubic
* uncorrected energy: -6.76 eV per atom

Structure (POSCAR):
```
PaMnZnPt
1.0
-3.3984 3.0434 -1.0128
-0.9783 1.0123 -4.4559
-3.9881 -1.5034 -1.9163
Pt Zn Mn Pa
1 1 1 1
Direct
0.5000 0.5000 0.5000
0.7500 0.7500 0.7500
0.0000 0.0000 0.0000
0.2500 0.2500 0.2500
```


# 4
The following is a DFT calculation (PBE-GGA) of crystalline PuPaMn2 at its relaxed geometry.

Calculated values
* SG: R-3m
* ΔH_f (0 K): 34 meV per atom
* ΔE to the lowest computed polymorph: 0.0000 eV per atom
* crystal system: trigonal
* uncorrected energy: -10.51 eV per atom

Structure (POSCAR):
```
PuPaMn2
1.0
-2.2534 -2.5835 2.5899
2.0385 -2.5586 2.7852
-0.2347 1.5960 4.9517
Pa Mn Pu
1 2 1
Direct
0.5000 0.5000 0.5000
0.2823 0.2823 0.1531
0.7177 0.7177 0.8469
0.0000 0.0000 0.0000
```


# 5
The following is a DFT calculation (PBE-GGA) of crystalline PuPaMn at its relaxed geometry.

Calculated values
* SG: P3m1
* ΔH_f (0 K): 104 meV per atom
* ΔE to the lowest computed polymorph: 0.0845 eV per atom
* crystal system: trigonal
* uncorrected energy: -10.90 eV per atom

Structure (POSCAR):
```
PuPaMn
1.0
-0.9638 -2.8222 0.8681
3.3063 -0.0967 3.3562
-4.2707 1.7506 0.9496
Pa Mn Pu
1 1 1
Direct
0.9695 0.0000 0.0000
0.3699 0.3333 0.6667
0.6606 0.6667 0.3333
```


# 6
The following is a DFT calculation (PBE-GGA) of crystalline PuPa2Mn at its relaxed geometry.

Calculated values
* SG: R-3m
* ΔH_f (0 K): 184 meV per atom
* ΔE to the lowest computed polymorph: 0.0763 eV per atom
* crystal system: trigonal
* uncorrected energy: -10.44 eV per atom

Structure (POSCAR):
```
PuPa2Mn
1.0
-1.6885 -0.2934 3.0755
-1.7620 -2.9502 0.7665
5.7376 -4.2922 4.7558
Pu Pa Mn
1 2 1
Direct
0.5000 0.5000 0.5000
0.7309 0.7309 0.8072
0.2691 0.2691 0.1928
0.0000 0.0000 0.0000
```


# 7
The following is a DFT calculation (PBE-GGA) of crystalline PuPa3Mn at its relaxed geometry.

Calculated values
* SG: P-1
* ΔH_f (0 K): 51 meV per atom
* crystal system: triclinic
* uncorrected energy: -10.35 eV per atom

Structure (POSCAR):
```
PuPa3Mn
1.0
-2.5697 -0.9618 -1.6702
-0.3714 -7.6800 0.8686
-2.9867 0.1094 9.0971
Pa Pu Mn
6 2 2
Direct
0.6318 0.4258 0.3871
0.0240 0.8031 0.3548
0.4783 0.4201 0.0345
0.0862 0.0428 0.0668
0.6313 0.8173 0.8606
0.4788 0.0286 0.5609
0.0137 0.2371 0.7669
0.0964 0.6088 0.6547
0.4614 0.1738 0.2906
0.6487 0.6722 0.1310
```


# 8
The following is a DFT calculation (PBE-GGA) of crystalline Pu3PaMn at its relaxed geometry.

Calculated values
* SG: Pm-3m
* ΔH_f (0 K): 505 meV per atom
* crystal system: cubic
* uncorrected energy: -11.83 eV per atom

Structure (POSCAR):
```
Pu3PaMn
1.0
5.0125 0.0000 0.0000
0.0000 5.0125 0.0000
0.0000 0.0000 5.0125
Pu Mn Pa
3 1 1
Direct
0.0000 0.0000 0.5000
0.5000 0.0000 0.0000
0.0000 0.5000 0.0000
0.0000 0.0000 0.0000
0.5000 0.5000 0.5000
```


# 9
The following is a DFT calculation (PBE-GGA) of crystalline PuPaMn2 at its relaxed geometry.

Calculated values
* SG: P4/mmm
* ΔH_f (0 K): 140 meV per atom
* ΔE to the lowest computed polymorph: 0.1060 eV per atom
* crystal system: tetragonal
* uncorrected energy: -10.40 eV per atom

Structure (POSCAR):
```
PuPaMn2
1.0
3.3263 0.0000 0.0000
0.0000 3.3263 0.0000
0.0000 0.0000 6.8310
Mn Pa Pu
2 1 1
Direct
0.0000 0.0000 0.7684
0.0000 0.0000 0.2316
0.5000 0.5000 0.0000
0.5000 0.5000 0.5000
```


# 10
The following is a DFT calculation (PBE-GGA) of crystalline PuPaMn at its relaxed geometry.

Calculated values
* SG: I4mm
* ΔH_f (0 K): 19 meV per atom
* ΔE to the lowest computed polymorph: 0.0000 eV per atom
* crystal system: tetragonal
* uncorrected energy: -10.98 eV per atom

Structure (POSCAR):
```
PuPaMn
1.0
3.5337 0.0000 0.0000
0.0000 3.5337 0.0000
-1.7669 -1.7669 4.7033
Pu Pa Mn
1 1 1
Direct
0.0062 0.0062 0.0124
0.3275 0.3275 0.6551
0.6662 0.6662 0.3325
```


# 11
The following is a DFT calculation (PBE-GGA) of crystalline PuPa2Mn at its relaxed geometry.

Calculated values
* SG: R3m
* ΔH_f (0 K): 221 meV per atom
* ΔE to the lowest computed polymorph: 0.1136 eV per atom
* crystal system: trigonal
* uncorrected energy: -10.40 eV per atom

Structure (POSCAR):
```
PuPa2Mn
1.0
4.1774 0.0000 0.0000
2.0887 3.6177 0.0000
2.0887 1.2059 5.8691
Pa Pu Mn
2 1 1
Direct
0.2668 0.2668 0.1997
0.0672 0.0672 0.7984
0.4878 0.4878 0.5367
0.6783 0.6783 0.9651
```


# 12
The following is a DFT calculation (PBE-GGA) of crystalline PuPa2Mn at its relaxed geometry.

Calculated values
* SG: Fm-3m
* ΔH_f (0 K): 138 meV per atom
* ΔE to the lowest computed polymorph: 0.0301 eV per atom
* crystal system: cubic
* uncorrected energy: -10.49 eV per atom

Structure (POSCAR):
```
PuPa2Mn
1.0
-1.6863 0.3433 4.5370
-4.6398 -1.0562 0.9503
-1.1142 -4.0163 2.4847
Mn Pa Pu
1 2 1
Direct
0.5000 0.5000 0.5000
0.2500 0.2500 0.2500
0.7500 0.7500 0.7500
0.0000 0.0000 0.0000
```


# 13
The following is a DFT calculation (PBE-GGA) of crystalline PuPaMn2 at its relaxed geometry.

Calculated values
* SG: Fm-3m
* ΔH_f (0 K): 110 meV per atom
* ΔE to the lowest computed polymorph: 0.0756 eV per atom
* crystal system: cubic
* uncorrected energy: -10.43 eV per atom

Structure (POSCAR):
```
PuPaMn2
1.0
-3.9878 -2.2361 -1.1434
0.1424 -3.7895 -2.7981
-0.8969 -4.2734 1.7731
Mn Pu Pa
2 1 1
Direct
0.2500 0.2500 0.2500
0.7500 0.7500 0.7500
0.0000 0.0000 0.0000
0.5000 0.5000 0.5000
```


# 14
The following is a DFT calculation (PBE-GGA) of crystalline PuPaMn at its relaxed geometry.

Calculated values
* SG: R-3m
* ΔH_f (0 K): 310 meV per atom
* ΔE to the lowest computed polymorph: 0.2906 eV per atom
* crystal system: trigonal
* uncorrected energy: -10.69 eV per atom

Structure (POSCAR):
```
PuPaMn
1.0
4.0463 0.0000 0.0000
2.0232 3.5042 0.0000
2.0232 1.1681 8.4226
Pu Mn Pa
2 2 2
Direct
0.1734 0.1734 0.4797
0.8266 0.8266 0.5203
0.3233 0.3233 0.0302
0.6767 0.6767 0.9698
0.5909 0.5909 0.2273
0.4091 0.4091 0.7727
```


# 15
The following is a DFT calculation (PBE-GGA) of crystalline PuPaMn2 at its relaxed geometry.

Calculated values
* SG: P4/mmm
* ΔH_f (0 K): 141 meV per atom
* ΔE to the lowest computed polymorph: 0.1069 eV per atom
* crystal system: tetragonal
* uncorrected energy: -10.40 eV per atom

Structure (POSCAR):
```
PuPaMn2
1.0
4.1903 0.0000 0.0000
0.0000 4.2603 0.0000
0.0000 0.0000 4.2603
Mn Pu Pa
2 1 1
Direct
0.0000 0.5000 0.0000
0.0000 0.0000 0.5000
0.5000 0.0000 0.0000
0.5000 0.5000 0.5000
```


# 16
The following is a DFT calculation (PBE-GGA) of crystalline PuPa2Mn at its relaxed geometry.

Calculated values
* SG: P4/mmm
* ΔH_f (0 K): 108 meV per atom
* ΔE to the lowest computed polymorph: 0.0000 eV per atom
* crystal system: tetragonal
* uncorrected energy: -10.52 eV per atom

Structure (POSCAR):
```
PuPa2Mn
1.0
-3.1855 0.1950 -1.3676
-0.6174 -3.2760 0.9710
-2.4467 2.2450 6.0191
Pa Mn Pu
2 1 1
Direct
0.0000 0.0000 0.7798
0.0000 0.0000 0.2202
0.5000 0.5000 0.0000
0.5000 0.5000 0.5000
```


# 17
The following is a DFT calculation (PBE-GGA) of crystalline PuPaMnRu at its relaxed geometry.

Calculated values
* SG: F-43m
* ΔH_f (0 K): -49 meV per atom
* crystal system: cubic
* uncorrected energy: -10.62 eV per atom

Structure (POSCAR):
```
PuPaMnRu
1.0
4.6559 0.0000 0.0000
2.3280 4.0321 0.0000
2.3280 1.3440 3.8015
Ru Pa Mn Pu
1 1 1 1
Direct
0.0000 0.0000 0.0000
0.2500 0.2500 0.2500
0.7500 0.7500 0.7500
0.5000 0.5000 0.5000
```


# 18
The following is a DFT calculation (PBE-GGA) of crystalline PuPaMn2S8 at its relaxed geometry.

Calculated values
* SG: I-4
* crystal system: tetragonal
* formation energy from raw total energies: -10.5 eV per formula unit
* uncorrected energy: -7.14 eV per atom

Structure (POSCAR):
```
PuPaMn2S8
1.0
6.2984 0.0000 0.0000
0.0000 6.2984 0.0000
-3.1492 -3.1492 6.4039
S Pu Mn Pa
8 1 2 1
Direct
0.6933 0.2539 0.8377
0.7461 0.8556 0.1623
0.4162 0.3067 0.1623
0.6024 0.6596 0.6608
0.1444 0.5838 0.8377
0.9988 0.3976 0.3392
0.3404 0.9416 0.3392
0.0584 0.0012 0.6608
0.0000 0.0000 0.0000
0.2500 0.7500 0.5000
0.5000 0.5000 0.0000
0.7500 0.2500 0.5000
```


# 19
The following is a DFT calculation (PBE-GGA) of crystalline PuPaMnS6 at its relaxed geometry.

Calculated values
* SG: P312
* crystal system: trigonal
* formation energy from raw total energies: -9.6 eV per formula unit
* uncorrected energy: -7.48 eV per atom

Structure (POSCAR):
```
PuPaMnS6
1.0
-2.9827 -2.0507 4.7371
5.5095 -1.1706 2.9623
-2.8317 5.6601 0.6673
S Mn Pu Pa
6 1 1 1
Direct
0.2575 0.3069 0.3128
0.2575 0.6872 0.9941
0.7425 0.3069 0.9941
0.2575 0.0059 0.6931
0.7425 0.6872 0.6931
0.7425 0.0059 0.3128
0.5000 0.0000 0.0000
0.5000 0.6667 0.3333
0.0000 0.3333 0.6667
```


# 20
The following is a DFT calculation (PBE-GGA) of crystalline Pu2Pa2MnSi4 at its relaxed geometry.

Calculated values
* SG: I4/mmm
* crystal system: tetragonal
* formation energy from raw total energies: -2.0 eV per formula unit
* uncorrected energy: -8.95 eV per atom

Structure (POSCAR):
```
Pu2Pa2MnSi4
1.0
-1.8596 -4.2382 4.0674
6.1074 0.8143 -0.0082
-2.1072 5.6483 1.2731
Pa Si Pu Mn
2 4 2 1
Direct
0.5000 0.7500 0.2500
0.5000 0.2500 0.7500
0.0000 0.7597 0.2403
0.4807 0.2403 0.2403
0.5193 0.7597 0.7597
0.0000 0.2403 0.7597
0.0000 0.3137 0.3137
0.0000 0.6863 0.6863
0.0000 0.0000 0.0000
```


# 21
The following is a DFT calculation (PBE-GGA) of crystalline PuPaMnSi at its relaxed geometry.

Calculated values
* SG: F-43m
* crystal system: cubic
* formation energy from raw total energies: -0.3 eV per formula unit
* uncorrected energy: -9.69 eV per atom

Structure (POSCAR):
```
PuPaMnSi
1.0
-4.5275 -0.8067 -0.7441
-1.6528 -4.3514 0.1904
-2.7465 -1.2960 3.5327
Mn Pa Si Pu
1 1 1 1
Direct
0.5000 0.5000 0.5000
0.7500 0.7500 0.7500
0.2500 0.2500 0.2500
0.0000 0.0000 0.0000
```


# 22
The following is a DFT calculation (PBE-GGA) of crystalline PuPaMnTc at its relaxed geometry.

Calculated values
* SG: F-43m
* ΔH_f (0 K): 34 meV per atom
* crystal system: cubic
* uncorrected energy: -10.81 eV per atom

Structure (POSCAR):
```
PuPaMnTc
1.0
4.7896 0.0000 0.0000
2.3948 4.1479 0.0000
2.3948 1.3826 3.9107
Pu Pa Tc Mn
1 1 1 1
Direct
0.7500 0.7500 0.7500
0.2500 0.2500 0.2500
0.5000 0.5000 0.5000
0.0000 0.0000 0.0000
```


# 23
The following is a DFT calculation (PBE-GGA) of crystalline PuUPaMn at its relaxed geometry.

Calculated values
* SG: F-43m
* ΔH_f (0 K): 208 meV per atom
* crystal system: cubic
* uncorrected energy: -10.86 eV per atom

Structure (POSCAR):
```
PuUPaMn
1.0
-1.2954 3.2954 -3.1582
-0.0712 -1.0468 -4.6272
-4.1425 -0.3969 -2.2791
Pa Mn U Pu
1 1 1 1
Direct
0.2500 0.2500 0.2500
0.0000 0.0000 0.0000
0.5000 0.5000 0.5000
0.7500 0.7500 0.7500
```


# 24
The following is a DFT calculation (PBE-GGA) of crystalline PuPaMnV at its relaxed geometry.

Calculated values
* SG: F-43m
* ΔH_f (0 K): 263 meV per atom
* crystal system: cubic
* uncorrected energy: -10.27 eV per atom

Structure (POSCAR):
```
PuPaMnV
1.0
4.7314 0.0000 0.0000
2.3657 4.0975 0.0000
2.3657 1.3658 3.8631
Pu V Pa Mn
1 1 1 1
Direct
0.2500 0.2500 0.2500
0.5000 0.5000 0.5000
0.7500 0.7500 0.7500
0.0000 0.0000 0.0000
```


# 25
The following is a DFT calculation (PBE-GGA) of crystalline PuPaMnZn at its relaxed geometry.

Calculated values
* SG: F-43m
* ΔH_f (0 K): -52 meV per atom
* crystal system: cubic
* uncorrected energy: -8.62 eV per atom

Structure (POSCAR):
```
PuPaMnZn
1.0
4.6913 0.0000 0.0000
2.3456 4.0628 0.0000
2.3456 1.3543 3.8304
Mn Zn Pa Pu
1 1 1 1
Direct
0.7500 0.7500 0.7500
0.5000 0.5000 0.5000
0.0000 0.0000 0.0000
0.2500 0.2500 0.2500
```


# 26
The following is a DFT calculation (PBE-GGA) of crystalline Rb2Pa2MnS6 at its relaxed geometry.

Calculated values
* SG: C2/m
* crystal system: monoclinic
* formation energy from raw total energies: -13.7 eV per formula unit
* uncorrected energy: -6.23 eV per atom

Structure (POSCAR):
```
Rb2Pa2MnS6
1.0
-6.2755 -1.4387 0.2246
4.1181 -4.4897 -2.0941
1.6143 -0.6994 8.1568
S Pa Mn Rb
6 2 1 2
Direct
0.3668 0.0638 0.6821
0.7676 0.7676 0.6872
0.2324 0.2324 0.3128
0.6332 0.9362 0.3179
0.9362 0.6332 0.3179
0.0638 0.3668 0.6821
0.6635 0.3365 0.5000
0.3365 0.6635 0.5000
0.0000 0.0000 0.5000
0.1749 0.8251 0.0000
0.8251 0.1749 0.0000
```


# 27
The following is a DFT calculation (PBE-GGA) of crystalline Rb2PaMn2S6 at its relaxed geometry.

Calculated values
* SG: R-3m
* crystal system: trigonal
* formation energy from raw total energies: -10.6 eV per formula unit
* uncorrected energy: -5.92 eV per atom

Structure (POSCAR):
```
Rb2PaMn2S6
1.0
-3.7595 2.8231 5.5187
-7.1461 1.0415 -0.6390
-4.6900 -4.5561 3.8976
S Rb Mn Pa
6 2 2 1
Direct
0.7502 0.2556 0.2441
0.7502 0.7502 0.2441
0.2498 0.2498 0.7559
0.7444 0.2498 0.7559
0.2556 0.7502 0.2441
0.2498 0.7444 0.7559
0.2391 0.2391 0.2826
0.7609 0.7609 0.7174
0.5522 0.5522 0.3434
0.4478 0.4478 0.6566
0.0000 0.0000 0.0000
```


# 28
The following is a DFT calculation (PBE-GGA) of crystalline RbPaMnS4 at its relaxed geometry.

Calculated values
* SG: Imma
* crystal system: orthorhombic
* formation energy from raw total energies: -8.0 eV per formula unit
* uncorrected energy: -6.30 eV per atom

Structure (POSCAR):
```
RbPaMnS4
1.0
-5.2152 -5.8717 -0.3729
7.4141 -1.0954 -3.5585
-0.8051 0.1760 8.4888
Pa Mn Rb S
2 2 2 8
Direct
0.5000 0.0000 0.0000
0.5000 0.0000 0.5000
0.5000 0.5000 0.5000
0.0000 0.5000 0.5000
0.1645 0.3290 0.9145
0.8355 0.6710 0.0855
0.2950 0.0070 0.2535
0.2810 0.5620 0.7180
0.7190 0.4380 0.2820
0.2880 0.9930 0.7465
0.7050 0.9930 0.7465
0.7190 0.4380 0.6560
0.7120 0.0070 0.2535
0.2810 0.5620 0.3440
```